First-principles (GGA-PBE) data for Ce2MgCo9 after structural relaxation, as listed in the Alexandria database.

- calculated formation energy (meV/atom) = -89.7
- energy above the most stable polymorph in this dataset (kcal/mol of atoms) = 1.04
- crystal system = trigonal
- total moment (μB/atom) = 0.75

Geometry as CIF:
```
data_Ce2MgCo9
_chemical_formula_sum 'Ce2 Mg1 Co9'
_cell_length_a 8.714
_cell_length_b 8.714
_cell_length_c 8.714
_cell_angle_alpha 32.31
_cell_angle_beta 32.31
_cell_angle_gamma 32.31
_space_group_name_H-M_alt 'P 1'
_space_group_IT_number 1
loop_
_space_group_symop_operation_xyz
'x,y,z'
loop_
_atom_site_label
_atom_site_type_symbol
_atom_site_fract_x
_atom_site_fract_y
_atom_site_fract_z
_atom_site_occupancy
Ce1 Ce 0.137 0.137 0.137 1
Ce2 Ce 0.863 0.863 0.863 1
Mg1 Mg 0.000 0.000 0.000 1
Co1 Co 0.080 0.579 0.579 1
Co2 Co 0.333 0.333 0.333 1
Co3 Co 0.421 0.421 0.920 1
Co4 Co 0.421 0.920 0.421 1
Co5 Co 0.500 0.500 0.500 1
Co6 Co 0.579 0.080 0.579 1
Co7 Co 0.579 0.579 0.080 1
Co8 Co 0.667 0.667 0.667 1
Co9 Co 0.920 0.421 0.421 1
```